VASP calculation (PBE-GGA) on a relaxed structure of Pm2Y8Th3.

Cell lengths 11.7631, 21.0960, 3.4978 Å; angles 90.00, 90.00, 90.00 degrees
Last column: nearest neighbours and their distance in Å.
Atoms (fractional coordinates):
Pm  0.1767  0.0985  0.0000  3 Y 3.35-3.52, 4 Th 3.42-3.51, 2 Pm 3.50
Pm  0.3233  0.5985  0.0000  3 Y 3.35-3.52, 4 Th 3.42-3.51, 2 Pm 3.50
Pm  0.6767  0.4015  0.0000  3 Y 3.35-3.52, 4 Th 3.42-3.51, 2 Pm 3.50
Pm  0.8233  0.9015  0.0000  3 Y 3.35-3.52, 4 Th 3.42-3.51, 2 Pm 3.50
Y  0.0420  0.5727  0.0000  6 Y 3.22-3.61, 1 Pm 3.35, 2 Th 3.41
Y  0.0593  0.8409  0.5000  2 Th 3.12-3.43
Y  0.1326  0.2868  0.0000  3 Y 3.50-3.61, 4 Th 3.66-3.68
Y  0.2112  0.4493  0.5000  7 Y 3.48-3.72, 1 Th 3.56, 2 Pm 3.84
Y  0.2888  0.9493  0.5000  7 Y 3.48-3.72, 1 Th 3.56, 2 Pm 3.84
Y  0.3674  0.7868  0.0000  3 Y 3.50-3.61, 4 Th 3.66-3.68
Y  0.4407  0.3409  0.5000  2 Th 3.12-3.43
Y  0.4580  0.0727  0.0000  6 Y 3.22-3.61, 1 Pm 3.35, 2 Th 3.41
Y  0.5420  0.9273  0.0000  6 Y 3.22-3.61, 1 Pm 3.35, 2 Th 3.41
Y  0.5593  0.6591  0.5000  2 Th 3.12-3.43
Y  0.6326  0.2132  0.0000  3 Y 3.50-3.61, 4 Th 3.66-3.68
Y  0.7112  0.0507  0.5000  7 Y 3.48-3.72, 1 Th 3.56, 2 Pm 3.84
Y  0.7888  0.5507  0.5000  7 Y 3.48-3.72, 1 Th 3.56, 2 Pm 3.84
Y  0.8674  0.7132  0.0000  3 Y 3.50-3.61, 4 Th 3.66-3.68
Y  0.9407  0.1591  0.5000  2 Th 3.12-3.43
Y  0.9580  0.4273  0.0000  6 Y 3.22-3.61, 1 Pm 3.35, 2 Th 3.41
Th  0.0000  0.0000  0.5000  4 Pm 3.42, 4 Y 3.43-3.56, 2 Th 3.50
Th  0.1402  0.7003  0.5000  3 Y 3.12-3.41
Th  0.3598  0.2003  0.5000  3 Y 3.12-3.41
Th  0.5000  0.5000  0.5000  4 Pm 3.42, 4 Y 3.43-3.56, 2 Th 3.50
Th  0.6402  0.7997  0.5000  3 Y 3.12-3.41
Th  0.8598  0.2997  0.5000  3 Y 3.12-3.41

Output
Symmetry: No. 55
Polymorph energy (0 for the lowest one): 0.0000 eV per atom


VASP calculation (PBE-GGA) on a relaxed structure of CdTcPb2.

Cell lengths 4.7079, 5.7125, 5.7125 Å; angles 36.53, 90.00, 90.00 degrees
Last column: nearest neighbours and their distance in Å.
Atoms (fractional coordinates):
Cd  0.0000  0.0000  0.0000  2 Tc 2.85, 7 Pb 2.97-3.07
Tc  0.5000  0.8519  0.8519  2 Cd 2.85, 7 Pb 2.99-3.08
Pb  0.0000  0.2739  0.2739  3 Cd 2.97-3.04, 4 Tc 3.08
Pb  0.5000  0.5762  0.5762  3 Tc 2.99-3.02, 4 Cd 3.07

Output
DFT total energy: -4.196 eV per atom
Symmetry: No. 38


VASP calculation (PBE-GGA) on a relaxed structure of LaMg3Ta.

Cell lengths 5.3784, 5.3784, 5.3784 Å; angles 90.00, 90.00, 90.00 degrees
Last column: nearest neighbours and their distance in Å.
Atoms (fractional coordinates):
La  0.0000  0.0000  0.0000  6 Mg 2.69
Mg  0.0000  0.0000  0.5000  2 La 2.69
Mg  0.0000  0.5000  0.0000  2 La 2.69
Mg  0.5000  0.0000  0.0000  2 La 2.69
Ta  0.5000  0.5000  0.5000  12 Mg 3.80

Output
Symmetry: No. 221
Polymorph energy (0 for the lowest one): 1.2552 eV per atom


VASP calculation (PBE-GGA) on a relaxed structure of PrThPa2P4.

Cell lengths 7.0395, 4.0647, 7.0407 Å; angles 90.00, 109.50, 90.00 degrees
Last column: nearest neighbours and their distance in Å.
Atoms (fractional coordinates):
Pr  0.0000  0.0000  0.0000  6 P 2.94-2.95
Th  0.0000  0.5000  0.5000  6 P 2.93-2.94
Pa  0.5000  0.0000  0.5000  6 P 2.80-2.81
Pa  0.5000  0.5000  0.0000  6 P 2.82
P  0.2651  0.0000  0.7538  3 Pa 2.81-2.82, 2 Th 2.93, 1 Pr 2.94
P  0.2676  0.5000  0.2573  3 Pa 2.80-2.82, 1 Th 2.94, 2 Pr 2.95
P  0.7324  0.5000  0.7427  3 Pa 2.80-2.82, 1 Th 2.94, 2 Pr 2.95
P  0.7349  0.0000  0.2462  3 Pa 2.81-2.82, 2 Th 2.93, 1 Pr 2.94

Output
DFT total energy: -8.023 eV per atom
Symmetry: No. 10


VASP calculation (PBE-GGA) on a relaxed structure of Mg2InCl.

Cell lengths 3.2758, 3.2758, 9.9396 Å; angles 90.00, 90.00, 90.00 degrees
Last column: nearest neighbours and their distance in Å.
Atoms (fractional coordinates):
Mg  0.0000  0.0000  0.0000  4 In 3.18, 8 Mg 3.25-3.28
Mg  0.5000  0.5000  0.2299  4 Cl 2.69
In  0.5000  0.5000  0.7804  4 Mg 3.18, 4 In 3.28
Cl  0.0000  0.0000  0.3674  4 Mg 2.69

Output
Symmetry: No. 99
Polymorph energy (0 for the lowest one): 0.1021 eV per atom
Formation energy without anion corrections: -456 meV per atom


VASP calculation (PBE-GGA) on a relaxed structure of Ho4GeTe2S.

Cell lengths 7.1259, 4.1472, 7.4266 Å; angles 90.00, 108.99, 90.00 degrees
Last column: nearest neighbours and their distance in Å.
Atoms (fractional coordinates):
Ho  0.2372  0.0000  0.2112  1 Ge 2.81, 2 S 2.81, 3 Te 3.13
Ho  0.2615  0.5000  0.7840  2 Ge 2.83, 1 S 2.83, 3 Te 3.11
Ho  0.7385  0.5000  0.2160  2 Ge 2.83, 1 S 2.83, 3 Te 3.11
Ho  0.7628  0.0000  0.7888  1 Ge 2.81, 2 S 2.81, 3 Te 3.13
Ge  0.5000  0.0000  0.0000  6 Ho 2.81-2.83
Te  0.0000  0.0000  0.5000  6 Ho 3.11-3.13
Te  0.5000  0.5000  0.5000  6 Ho 3.11-3.13
S  0.0000  0.5000  0.0000  6 Ho 2.81-2.83

Output
Symmetry: No. 10
Formation energy without anion corrections: -1426 meV per atom


VASP calculation (PBE-GGA) on a relaxed structure of PuPaSnHg.

Cell lengths 5.3170, 5.3170, 5.3170 Å; angles 60.00, 60.00, 60.00 degrees
Last column: nearest neighbours and their distance in Å.
Atoms (fractional coordinates):
Pu  0.0000  0.0000  0.0000  4 Hg 3.26, 4 Sn 3.26
Pa  0.5000  0.5000  0.5000  4 Hg 3.26, 4 Sn 3.26
Sn  0.2500  0.2500  0.2500  4 Pa 3.26, 4 Pu 3.26
Hg  0.7500  0.7500  0.7500  4 Pu 3.26, 4 Pa 3.26

Output
DFT total energy: -7.075 eV per atom
Symmetry: No. 216


VASP calculation (PBE-GGA) on a relaxed structure of CaDy4Ag5.

Cell lengths 3.6215, 3.6215, 18.5259 Å; angles 90.00, 90.00, 90.00 degrees
Last column: nearest neighbours and their distance in Å.
Atoms (fractional coordinates):
Ca  0.0000  0.0000  0.0000  8 Ag 3.25, 4 Ca 3.62
Dy  0.0000  0.0000  0.2018  8 Ag 3.09-3.16
Dy  0.0000  0.0000  0.4010  8 Ag 3.15-3.16
Dy  0.0000  0.0000  0.5990  8 Ag 3.15-3.16
Dy  0.0000  0.0000  0.7982  8 Ag 3.09-3.16
Ag  0.5000  0.5000  0.1084  4 Dy 3.09, 4 Ca 3.25
Ag  0.5000  0.5000  0.3013  8 Dy 3.16
Ag  0.5000  0.5000  0.5000  8 Dy 3.15
Ag  0.5000  0.5000  0.6987  8 Dy 3.16
Ag  0.5000  0.5000  0.8916  4 Dy 3.09, 4 Ca 3.25

Output
DFT total energy: -3.789 eV per atom
Symmetry: No. 123


VASP calculation (PBE-GGA) on a relaxed structure of PuHf2Cd.

Cell lengths 10.3923, 10.3923, 10.3923 Å; angles 17.78, 17.78, 17.78 degrees
Last column: nearest neighbours and their distance in Å.
Atoms (fractional coordinates):
Pu  0.0000  0.0000  0.0000  6 Hf 3.16, 6 Pu 3.21
Hf  0.2499  0.2499  0.2499  3 Cd 3.16, 3 Pu 3.16, 6 Hf 3.21
Hf  0.7501  0.7501  0.7501  3 Cd 3.16, 3 Pu 3.16, 6 Hf 3.21
Cd  0.5000  0.5000  0.5000  6 Hf 3.16, 6 Cd 3.21

Output
Symmetry: No. 166
Polymorph energy (0 for the lowest one): 0.0436 eV per atom


VASP calculation (PBE-GGA) on a relaxed structure of KTl4As.

Cell lengths 6.4972, 6.4972, 6.4972 Å; angles 60.00, 60.00, 60.00 degrees
Last column: nearest neighbours and their distance in Å.
Atoms (fractional coordinates):
K  0.0000  0.0000  0.0000  12 Tl 3.81, 4 As 3.98
Tl  0.1286  0.6238  0.6238  6 Tl 3.22-3.28
Tl  0.6238  0.1286  0.6238  6 Tl 3.22-3.28
Tl  0.6238  0.6238  0.1286  6 Tl 3.22-3.28
Tl  0.6238  0.6238  0.6238  6 Tl 3.22-3.28
As  0.2500  0.2500  0.2500  12 Tl 3.81, 4 K 3.98

Output
Symmetry: No. 216
Polymorph energy (0 for the lowest one): 0.2123 eV per atom


VASP calculation (PBE-GGA) on a relaxed structure of LuPaTc2.

Cell lengths 4.8005, 4.8005, 4.8005 Å; angles 60.00, 60.00, 60.00 degrees
Last column: nearest neighbours and their distance in Å.
Atoms (fractional coordinates):
Lu  0.0000  0.0000  0.0000  8 Tc 2.94
Pa  0.5000  0.5000  0.5000  8 Tc 2.94
Tc  0.2500  0.2500  0.2500  4 Pa 2.94, 4 Lu 2.94
Tc  0.7500  0.7500  0.7500  4 Lu 2.94, 4 Pa 2.94

Output
Symmetry: No. 225
Polymorph energy (0 for the lowest one): 0.0239 eV per atom


VASP calculation (PBE-GGA) on a relaxed structure of La3SnF.

Cell lengths 5.1238, 5.1238, 5.1238 Å; angles 90.00, 90.00, 90.00 degrees
Last column: nearest neighbours and their distance in Å.
Atoms (fractional coordinates):
La  0.0000  0.0000  0.5000  2 F 2.56
La  0.0000  0.5000  0.0000  2 F 2.56
La  0.5000  0.0000  0.0000  2 F 2.56
Sn  0.5000  0.5000  0.5000  12 La 3.62
F  0.0000  0.0000  0.0000  6 La 2.56

Output
Symmetry: No. 221
Polymorph energy (0 for the lowest one): 0.0000 eV per atom
Formation energy without anion corrections: -1304 meV per atom